# LiMnOs3

A geometry-optimized LiMnOs3 structure (GGA-PBE, Alexandria via LeMat-Bulk).

Computed properties:
Polymorph energy (0 for the lowest one)   0 kJ/mol of formula units
Total moment   0.000 μB/f.u.
Energy of formation   1.375 eV per atom

Cell lengths 4.0304, 4.0304, 4.0304 Å; angles 90.00, 90.00, 90.00 degrees
Closest atoms and distances in Å follow each position.
Space group Pm-3m (No. 221)
Inequivalent atoms, fractional coordinates:
1 Li 0.0000 0.0000 0.0000  6 Os 2.02
2 Mn 0.5000 0.5000 0.5000  12 Os 2.85
3 Os 0.0000 0.0000 0.5000  2 Li 2.02

***

# Zr2ZnW

A geometry-optimized Zr2ZnW structure (GGA-PBE, Alexandria via LeMat-Bulk).

Computed properties:
Total moment   0.000 μB/f.u.
Energy of formation   0.089 eV per atom

Cell lengths 2.8558, 2.8558, 9.2212 Å; angles 90.00, 90.00, 90.00 degrees
Closest atoms and distances in Å follow each position.
Space group P4/mmm (No. 123)
Inequivalent atoms, fractional coordinates:
1 Zr 0.0000 0.0000 0.2445  4 Zr 2.86, 4 Zn 3.03, 4 W 3.10
2 Zn 0.5000 0.5000 0.0000  4 Zn 2.86, 8 Zr 3.03
3 W 0.5000 0.5000 0.5000  4 W 2.86, 8 Zr 3.10

***

# Ca2CdB

A geometry-optimized Ca2CdB structure (GGA-PBE, Alexandria via LeMat-Bulk).

Computed properties:
Polymorph energy (0 for the lowest one)   0 kJ/mol of formula units
Total moment   0.000 μB/f.u.
Energy of formation   0.310 eV per atom

Cell lengths 7.1345, 7.1345, 7.1345 Å; angles 90.00, 90.00, 90.00 degrees
Closest atoms and distances in Å follow each position.
Space group Fm-3m (No. 225)
Inequivalent atoms, fractional coordinates:
1 Ca 0.2500 0.2500 0.2500  4 B 3.09, 4 Cd 3.09
2 Cd 0.0000 0.0000 0.0000  8 Ca 3.09
3 B 0.0000 0.0000 0.5000  8 Ca 3.09

***

# InSiPb2

A geometry-optimized InSiPb2 structure (GGA-PBE, Alexandria via LeMat-Bulk).

Computed properties:
Total moment   0.000 μB/f.u.
Formation energy (no corrections)   246.5 meV per atom

Cell lengths 3.8056, 3.9461, 7.5586 Å; angles 90.00, 103.12, 90.00 degrees
Closest atoms and distances in Å follow each position.
Space group Pm (No. 6)
Inequivalent atoms, fractional coordinates:
1 In 0.0000 0.0000 0.0000  4 Si 2.84
2 Si 0.4530 0.5000 0.8977  4 In 2.84, 3 Pb 2.95-2.97
3 Pb 0.2961 0.0000 0.5966  2 Si 2.97
4 Pb 0.6596 0.5000 0.2986  1 Si 2.95

***

# Ba3Na2Au3

A geometry-optimized Ba3Na2Au3 structure (GGA-PBE, Alexandria via LeMat-Bulk).

Computed properties:
Total moment   0.000 μB/f.u.
Energy of formation   -0.524 eV per atom

Cell lengths 9.8468, 9.8468, 6.6422 Å; angles 90.00, 90.00, 120.00 degrees
Closest atoms and distances in Å follow each position.
Space group P6_3/mcm (No. 193)
Inequivalent atoms, fractional coordinates:
1 Ba 0.0000 0.2893 0.2500  5 Au 3.29-3.43
2 Na 0.3333 0.6667 0.0000  2 Na 3.32, 6 Au 3.51
3 Au 0.0000 0.3767 0.7500  5 Ba 3.29-3.43, 4 Na 3.51

***

# CeUC

A geometry-optimized CeUC structure (GGA-PBE, Alexandria via LeMat-Bulk).

Computed properties:
Polymorph energy (0 for the lowest one)   19 kJ/mol of formula units
Total moment   0.001 μB/f.u.
Energy of formation   0.051 eV per atom

Cell lengths 11.1206, 3.4217, 6.4619 Å; angles 90.00, 121.64, 90.00 degrees
Closest atoms and distances in Å follow each position.
Space group C2/m (No. 12)
Inequivalent atoms, fractional coordinates:
1 Ce 0.0600 0.0000 0.3031  2 C 2.64, 3 U 2.71-2.90
2 U 0.2081 0.5000 0.1938  3 C 2.32-2.34
3 C 0.1433 0.5000 0.7895  3 U 2.32-2.34

***

# ThCd2Hg

A geometry-optimized ThCd2Hg structure (GGA-PBE, Alexandria via LeMat-Bulk).

Computed properties:
Polymorph energy (0 for the lowest one)   21 kJ/mol of formula units
Total moment   0.000 μB/f.u.
Energy of formation   -0.115 eV per atom

Cell lengths 4.6091, 4.6091, 4.8998 Å; angles 90.00, 90.00, 90.00 degrees
Closest atoms and distances in Å follow each position.
Space group P4/mmm (No. 123)
Inequivalent atoms, fractional coordinates:
1 Th 0.0000 0.0000 0.0000  4 Hg 3.26, 8 Cd 3.36
2 Cd 0.0000 0.5000 0.5000  4 Cd 3.26, 4 Hg 3.36, 4 Th 3.36
3 Hg 0.5000 0.5000 0.0000  4 Th 3.26, 8 Cd 3.36

***

# Ca2FeIr

A geometry-optimized Ca2FeIr structure (GGA-PBE, Alexandria via LeMat-Bulk).

Computed properties:
Polymorph energy (0 for the lowest one)   114 kJ/mol of formula units
Total moment   2.776 μB/f.u.
Energy of formation   0.268 eV per atom

Cell lengths 6.0807, 6.9901, 3.8989 Å; angles 90.00, 90.00, 90.00 degrees
Closest atoms and distances in Å follow each position.
Space group Cmmm (No. 65)
Inequivalent atoms, fractional coordinates:
1 Ca 0.2500 0.2500 0.0000  4 Fe 3.03, 4 Ir 3.03, 2 Ca 3.04
2 Fe 0.0000 0.0000 0.5000  8 Ca 3.03, 2 Ir 3.04
3 Ir 0.0000 0.5000 0.5000  8 Ca 3.03, 2 Fe 3.04

***

# As4H

A geometry-optimized As4H structure (GGA-PBE, Alexandria via LeMat-Bulk).

Computed properties:
Total moment   0.000 μB/f.u.
Electronic total energy   -0.27292 Ry per atom

Cell lengths 4.3241, 4.3241, 4.3241 Å; angles 90.00, 90.00, 90.00 degrees
Closest atoms and distances in Å follow each position.
Space group Pm-3m (No. 221)
Inequivalent atoms, fractional coordinates:
1 As 0.0000 0.0000 0.0000  12 As 3.06
2 As 0.0000 0.5000 0.5000  2 H 2.16
3 H 0.5000 0.5000 0.5000  6 As 2.16

***

# Sr3NbTe

A geometry-optimized Sr3NbTe structure (GGA-PBE, Alexandria via LeMat-Bulk).

Computed properties:
Polymorph energy (0 for the lowest one)   79 kJ/mol of formula units
Total moment   0.000 μB/f.u.
Formation energy (no corrections)   491.2 meV per atom

Cell lengths 5.7560, 5.7560, 5.7560 Å; angles 90.00, 90.00, 90.00 degrees
Closest atoms and distances in Å follow each position.
Space group Pm-3m (No. 221)
Inequivalent atoms, fractional coordinates:
1 Sr 0.0000 0.0000 0.5000  2 Nb 2.88
2 Nb 0.0000 0.0000 0.0000  6 Sr 2.88
3 Te 0.5000 0.5000 0.5000  12 Sr 4.07

***

# MgIrPb2

A geometry-optimized MgIrPb2 structure (GGA-PBE, Alexandria via LeMat-Bulk).

Computed properties:
Total moment   0.000 μB/f.u.
Energy of formation   0.133 eV per atom

Cell lengths 9.1941, 9.1941, 5.2175 Å; angles 90.00, 90.00, 90.00 degrees
Closest atoms and distances in Å follow each position.
Space group I-42d (No. 122)
Inequivalent atoms, fractional coordinates:
1 Mg 0.0000 0.0000 0.0000  2 Ir 2.61
2 Ir 0.0000 0.0000 0.5000  2 Mg 2.61, 4 Pb 2.72
3 Pb 0.1412 0.2500 0.6250  2 Ir 2.72

***

# PuInPb2

A geometry-optimized PuInPb2 structure (GGA-PBE, Alexandria via LeMat-Bulk).

Computed properties:
Polymorph energy (0 for the lowest one)   118 kJ/mol of formula units
Total moment   5.922 μB/f.u.
Energy of formation   0.134 eV per atom

Cell lengths 4.7454, 4.7454, 19.7541 Å; angles 90.00, 90.00, 120.00 degrees
Closest atoms and distances in Å follow each position.
Space group R3m (No. 160, hexagonal axes)
Inequivalent atoms, fractional coordinates:
1 Pu 0.0000 0.0000 0.0000  6 Pb 3.17-3.23, 1 In 3.44
2 In 0.0000 0.0000 0.1741  6 Pb 3.14-3.24, 1 Pu 3.44
3 Pb 0.0000 0.0000 0.4195  3 Pu 3.23, 3 In 3.24, 1 Pb 3.28
4 Pb 0.0000 0.0000 0.5855  3 In 3.14, 3 Pu 3.17, 1 Pb 3.28